Record 1
## HoMg2Au (PBE)

Data for a relaxed structure of HoMg2Au.

```
HoMg2Au
1.0
-3.341 3.462 0.914
-2.875 -3.021 0.935
1.225 0.101 4.093
Mg Ho Au
2 1 1
Cartesian
-1.437 -1.511 0.467 Mg
0.612 0.051 2.047 Mg
-2.496 0.271 2.971 Ho
-1.671 1.731 0.457 Au
```

Space group: P4/mmm (123)
Calculated total energy (eV per atom): -3.141
Density (g cm⁻³): 7.62
Calculated formation energy (kJ per mole of atoms): -37

Record 2
## Co2SiPd (PBE)

Data for a relaxed structure of Co2SiPd.

```
Co2SiPd
1.0
-3.265 0.697 1.121
-1.305 -1.262 -3.017
-2.772 -8.264 2.600
Pd Co Si
2 4 2
Cartesian
-4.161 -3.925 1.386 Pd
0.000 0.000 0.000 Pd
-2.755 -1.818 0.925 Co
-3.849 -6.465 1.108 Co
-2.058 -2.737 -1.047 Co
-6.021 -6.638 0.421 Co
-2.285 -0.282 -0.948 Si
-3.181 -4.904 -0.683 Si
```

Space group: I-42d (122)
Calculated total energy (eV per atom): -6.058
Energy relative to the elements, uncorrected (eV/atom): 0.149
Density (g cm⁻³): 7.73

Record 3
## CaAc2Cu (PBE)

Data for a relaxed structure of CaAc2Cu.

```
CaAc2Cu
1.0
-3.569 -3.139 -5.155
-2.797 -5.044 5.008
-8.233 6.372 1.821
Cu Ac Ca
4 8 4
Cartesian
-3.325 -0.517 2.114 Cu
-6.131 -4.278 2.584 Cu
-11.274 -1.293 -0.441 Cu
-8.468 2.467 -0.911 Cu
-8.494 -0.607 -1.646 Ac
-5.263 0.829 0.012 Ac
-12.389 -0.277 2.337 Ac
-2.211 -1.534 -0.663 Ac
-11.547 1.756 -0.971 Ac
-3.053 -3.567 2.644 Ac
-9.336 -2.639 1.662 Ac
-6.105 -1.204 3.319 Ac
-9.413 -0.558 5.401 Ca
-8.710 1.353 1.893 Ca
-5.889 -3.164 -0.220 Ca
-5.186 -1.253 -3.728 Ca
```

Space group: Pnma (62)
Calculated total energy (eV per atom): -3.616
Density (g cm⁻³): 6.54
Calculated formation energy (kJ per mole of atoms): -4

Record 4
## Pm2Pr4Sb3N2 (PBE)

Data for a relaxed structure of Pm2Pr4Sb3N2.

```
Pm2Pr4Sb3N2
1.0
-1.471 4.092 -2.145
-2.871 0.953 3.788
11.927 4.000 4.932
Sb Pm Pr N
3 2 4 2
Cartesian
3.505 2.343 2.067 Sb
0.000 0.000 0.000 Sb
4.080 6.702 4.508 Sb
5.983 4.000 3.529 Pm
1.602 5.045 3.047 Pm
7.395 7.482 3.722 Pr
0.890 3.133 -0.114 Pr
6.695 5.913 6.689 Pr
0.190 1.564 2.853 Pr
-0.097 3.909 2.045 N
7.682 5.136 4.530 N
```

Space group: I4/mmm (139)
Calculated total energy (eV per atom): -6.356
Energy relative to the elements, uncorrected (eV/atom): -1.117
Density (g cm⁻³): 6.74

Record 5
## SrFeAs2 (PBE)

Data for a relaxed structure of SrFeAs2.

```
SrFeAs2
1.0
3.538 -0.463 0.000
-0.643 3.510 0.000
0.000 0.000 7.048
As Fe Sr
2 1 1
Cartesian
0.000 0.000 0.423 As
0.000 0.000 3.101 As
1.448 1.523 1.762 Fe
1.448 1.523 5.286 Sr
```

Space group: Cmmm (65)
Calculated total energy (eV per atom): -5.025
Density (g cm⁻³): 5.70
Calculated formation energy (kJ per mole of atoms): -16

Record 6
## Mg2NbPt8 (PBE)

Data for a relaxed structure of Mg2NbPt8.

```
Mg2NbPt8
1.0
-1.156 2.095 3.204
-5.509 1.340 -2.864
-0.447 -7.159 2.024
Pt Mg Nb
8 2 1
Cartesian
-1.105 -3.788 2.078 Pt
-1.273 -1.422 0.470 Pt
-3.031 -4.146 4.112 Pt
-5.839 -2.303 1.894 Pt
-6.008 0.064 0.286 Pt
-3.879 -4.232 1.367 Pt
-3.234 0.507 0.997 Pt
-4.081 0.421 -1.748 Pt
-4.014 -1.864 -0.230 Mg
-3.099 -1.861 2.594 Mg
-0.578 1.047 1.602 Nb
```

Space group: C2/m (12)
Calculated total energy (eV per atom): -6.190
Density (g cm⁻³): 16.16
Calculated formation energy (kJ per mole of atoms): -57

Record 7
## YTcTe2 (PBE)

Data for a relaxed structure of YTcTe2.

```
YTcTe2
1.0
-1.784 1.929 -3.415
0.221 -3.337 -2.000
-5.219 -2.266 1.447
Tc Y Te
1 1 2
Cartesian
-4.640 -3.237 -2.123 Tc
-2.142 -0.436 -1.846 Y
-4.910 -5.279 -0.417 Te
-2.586 -3.124 -0.413 Te
```

Space group: P2/m (10)
Calculated total energy (eV per atom): -5.975
Energy relative to the elements, uncorrected (eV/atom): -0.197
Density (g cm⁻³): 7.54

Record 8
## MnIrBr2 (PBE)

Data for a relaxed structure of MnIrBr2.

```
MnIrBr2
1.0
-2.914 1.448 -0.046
0.184 -2.000 -2.561
-3.384 -6.653 4.953
Br Ir Mn
2 1 1
Cartesian
-3.077 -6.050 4.504 Br
-2.495 -2.497 0.351 Br
-1.833 -3.604 2.683 Ir
-3.784 -5.032 2.238 Mn
```

Space group: Cmm2 (35)
Calculated total energy (eV per atom): -5.090
Energy relative to the elements, uncorrected (eV/atom): 0.254
Density (g cm⁻³): 7.50

Record 9
## PmHfSb2O (PBE)

Data for a relaxed structure of PmHfSb2O.

```
PmHfSb2O
1.0
-1.164 -2.298 -2.969
-2.472 -1.870 2.417
-10.793 9.865 -3.405
Sb Pm O Hf
4 2 2 2
Cartesian
-3.519 1.535 -2.411 Sb
-9.976 7.437 -4.448 Sb
-9.092 6.245 -1.270 Sb
-2.634 0.343 0.767 Sb
-6.840 4.571 -3.459 Pm
-5.771 3.210 -0.222 Pm
-7.214 2.848 -1.978 O
-5.396 4.932 -1.702 O
-11.268 8.234 -1.956 Hf
-1.343 -0.454 -1.724 Hf
```

Space group: P4/nmm (129)
Calculated total energy (eV per atom): -7.038
Energy relative to the elements, uncorrected (eV/atom): -1.456
Density (g cm⁻³): 8.35

Record 10
## AlCuPt (PBE)

Data for a relaxed structure of AlCuPt.

```
AlCuPt
1.0
-4.011 2.444 0.723
-4.326 -1.947 -0.272
4.289 -0.268 2.028
Pt Cu Al
1 1 1
Cartesian
-2.829 0.169 0.153 Pt
-5.504 0.328 0.298 Cu
-0.004 0.000 0.000 Al
```

Space group: Imm2 (44)
Calculated total energy (eV per atom): -5.236
Density (g cm⁻³): 11.41
Calculated formation energy (kJ per mole of atoms): -59

Record 11
## Ba4LiPd3 (PBE)

Data for a relaxed structure of Ba4LiPd3.

```
Ba4LiPd3
1.0
4.592 0.000 0.000
0.000 4.735 0.000
0.000 0.000 12.223
Pd Ba Li
3 4 1
Cartesian
0.000 2.368 7.041 Pd
0.000 0.000 5.299 Pd
2.296 0.000 11.479 Pd
2.296 0.000 7.786 Ba
2.296 2.368 4.610 Ba
0.000 2.368 10.361 Ba
0.000 0.000 1.782 Ba
2.296 2.368 0.535 Li
```

Space group: Pmm2 (25)
Calculated total energy (eV per atom): -3.556
Density (g cm⁻³): 5.47
Calculated formation energy (kJ per mole of atoms): -39

Record 12
## PmSm2Cd (PBE)

Data for a relaxed structure of PmSm2Cd.

```
PmSm2Cd
1.0
4.937 0.000 0.000
0.000 4.940 0.000
0.000 0.000 4.940
Cd Sm Pm
1 2 1
Cartesian
2.469 2.470 2.470 Cd
0.000 0.000 2.470 Sm
0.000 2.470 0.000 Sm
2.469 0.000 0.000 Pm
```

Space group: P4/mmm (123)
Calculated total energy (eV per atom): -3.878
Density (g cm⁻³): 7.69
Calculated formation energy (kJ per mole of atoms): -10

Record 13
## RePd (PBE)

Data for a relaxed structure of RePd.

```
RePd
1.0
-2.534 0.203 1.021
1.785 -1.761 1.104
4.296 9.816 8.713
Re Pd
3 3
Cartesian
0.000 0.000 0.000 Re
3.209 5.437 6.885 Re
0.337 2.820 3.953 Re
2.485 7.728 8.309 Pd
1.061 0.529 2.529 Pd
2.148 4.908 4.356 Pd
```

Space group: R-3m (166)
Calculated total energy (eV per atom): -8.652
Density (g cm⁻³): 16.24
Calculated formation energy (kJ per mole of atoms): 16

Record 14
## FeNiN (PBE)

Data for a relaxed structure of FeNiN.

```
FeNiN
1.0
-0.311 1.217 -2.491
-1.552 -2.219 0.672
-2.961 2.564 1.623
Ni Fe N
1 1 1
Cartesian
-0.211 0.183 0.116 Ni
-2.853 0.411 0.557 Fe
-1.761 0.969 -0.869 N
```

Space group: P3m1 (156)
Calculated total energy (eV per atom): -7.307
Energy relative to the elements, uncorrected (eV/atom): 0.216
Density (g cm⁻³): 7.47

Record 15
## GdZrIn2 (PBE)

Data for a relaxed structure of GdZrIn2.

```
GdZrIn2
1.0
-2.753 1.945 2.929
-3.579 -0.583 -2.977
-0.914 -4.183 1.918
In Gd Zr
2 1 1
Cartesian
-0.457 -2.092 0.959 In
-1.789 -0.292 -1.489 In
-3.623 -1.411 0.935 Gd
-1.377 0.972 1.465 Zr
```

Space group: P4/mmm (123)
Calculated total energy (eV per atom): -7.345
Density (g cm⁻³): 8.08
Calculated formation energy (kJ per mole of atoms): -31

Record 16
## ScMo2Pt (PBE)

Data for a relaxed structure of ScMo2Pt.

```
ScMo2Pt
1.0
-2.766 -0.121 4.044
-1.569 -2.607 3.842
3.730 1.528 3.297
Mo Sc Pt
2 1 1
Cartesian
3.595 1.467 3.250 Mo
-0.422 -0.903 8.611 Mo
0.012 -0.220 2.772 Sc
-0.361 -0.616 5.437 Pt
```

Space group: Cm (8)
Calculated total energy (eV per atom): -8.656
Density (g cm⁻³): 10.66
Calculated formation energy (kJ per mole of atoms): -14

Record 17
## LiTl2IBr4 (PBE)

Data for a relaxed structure of LiTl2IBr4.

```
LiTl2IBr4
1.0
4.391 0.000 0.000
0.000 6.423 -0.088
0.000 1.816 9.187
Br Li I Tl
4 1 1 2
Cartesian
2.196 5.201 2.815 Br
2.196 3.038 6.284 Br
4.391 2.086 3.005 Br
0.000 6.153 6.094 Br
0.000 4.120 4.550 Li
2.196 5.028 9.143 I
0.000 1.816 9.187 Tl
2.196 0.908 4.594 Tl
```

Space group: P2/m (10)
Calculated total energy (eV per atom): -2.578
Energy relative to the elements, uncorrected (eV/atom): -0.717
Density (g cm⁻³): 5.51

Record 18
## Cr3Ir2Rh3 (PBE)

Data for a relaxed structure of Cr3Ir2Rh3.

```
Cr3Ir2Rh3
1.0
3.677 0.000 -0.772
-0.178 3.727 -0.849
-0.226 -0.138 8.067
Cr Rh Ir
3 3 2
Cartesian
2.883 3.148 4.591 Cr
0.389 0.441 1.854 Cr
-0.089 1.864 -0.425 Cr
2.123 2.287 0.969 Rh
1.838 0.000 -0.386 Rh
1.150 1.303 5.477 Rh
0.677 2.732 3.227 Ir
2.595 0.857 3.219 Ir
```

Space group: Immm (71)
Calculated total energy (eV per atom): -8.706
Density (g cm⁻³): 12.88
Calculated formation energy (kJ per mole of atoms): -12

Record 19
## KNaAu (PBE)

Data for a relaxed structure of KNaAu.

```
KNaAu
1.0
4.754 0.000 0.000
0.000 4.754 0.000
0.000 0.000 8.637
K Na Au
2 2 2
Cartesian
2.377 0.000 1.224 K
0.000 2.377 7.413 K
2.377 2.377 4.318 Na
0.000 0.000 4.318 Na
2.377 0.000 6.268 Au
0.000 2.377 2.369 Au
```

Space group: P4/nmm (129)
Calculated total energy (eV per atom): -2.131
Density (g cm⁻³): 4.41
Calculated formation energy (kJ per mole of atoms): -22

Record 20
## Tm3Si5Te12 (PBE)

Data for a relaxed structure of Tm3Si5Te12.

```
Tm3Si5Te12
1.0
14.711 0.000 0.000
-4.904 13.870 0.000
-4.904 -6.935 12.012
Si Tm Te
20 12 48
Cartesian
-2.452 6.935 0.000 Si
-4.904 3.467 6.006 Si
4.904 6.935 0.000 Si
6.130 -4.334 10.510 Si
6.130 3.467 9.009 Si
-1.226 3.467 3.003 Si
-1.226 11.269 1.501 Si
-3.678 7.802 4.504 Si
1.226 4.334 10.510 Si
4.904 -3.467 6.006 Si
8.582 -0.867 7.507 Si
6.130 6.068 4.504 Si
0.000 0.000 0.000 Si
3.678 10.402 3.003 Si
-1.226 0.867 7.507 Si
-2.452 -3.467 6.006 Si
2.452 3.467 6.006 Si
7.356 0.000 0.000 Si
3.678 2.601 1.501 Si
1.226 -3.467 9.009 Si
-3.678 -2.601 10.510 Tm
1.226 -0.867 4.504 Tm
-6.130 6.935 9.009 Tm
3.678 0.000 9.009 Tm
-1.226 6.068 7.507 Tm
3.678 7.802 7.507 Tm
11.033 0.000 3.003 Tm
8.582 4.334 1.501 Tm
8.582 9.536 1.501 Tm
-3.678 2.601 10.510 Tm
6.130 0.867 4.504 Tm
1.226 6.935 3.003 Tm
3.586 5.845 4.973 Te
2.562 -2.319 7.101 Te
7.466 12.347 0.447 Te
9.152 0.752 5.559 Te
6.038 -1.090 7.039 Te
-2.562 3.093 7.548 Te
1.863 -1.825 10.916 Te
-3.107 7.906 9.437 Te
4.248 -1.723 3.877 Te
5.492 -1.861 10.979 Te
10.396 6.971 2.128 Te
9.918 -3.093 7.548 Te
9.697 1.523 0.447 Te
8.674 -4.852 10.469 Te
6.767 6.899 2.128 Te
-1.318 4.852 10.469 Te
-5.014 10.028 4.464 Te
-1.797 -0.752 5.559 Te
-1.318 -3.762 8.581 Te
-4.794 5.412 11.565 Te
1.318 1.090 7.039 Te
-4.248 6.183 6.452 Te
-0.589 5.110 1.096 Te
1.863 1.861 10.979 Te
6.222 10.697 3.431 Te
-6.038 3.762 8.581 Te
-0.655 0.971 2.575 Te
10.941 3.173 3.431 Te
-0.589 8.796 1.033 Te
5.492 1.825 10.916 Te
0.655 8.658 8.134 Te
3.107 1.723 3.877 Te
6.700 7.687 6.452 Te
1.797 5.212 8.134 Te
8.011 -0.971 2.575 Te
-3.770 11.787 1.542 Te
4.794 2.319 7.101 Te
-1.863 0.036 9.883 Te
0.110 4.616 4.910 Te
3.041 8.760 1.096 Te
3.041 5.074 1.033 Te
7.466 3.842 4.464 Te
-1.134 8.025 4.973 Te
-5.492 -0.036 9.883 Te
-2.562 -5.412 11.565 Te
2.342 9.254 4.910 Te
6.222 2.083 1.542 Te
5.559 5.964 9.437 Te
```

Space group: Ia-3d (230)
Calculated total energy (eV per atom): -4.291
Energy relative to the elements, uncorrected (eV/atom): -0.379
Density (g cm⁻³): 5.90